(1)
DFT (SCAN) results for ScZn at its PBEsol-relaxed geometry.

Crystal system ... cubic
Space-group type ... No. 216
Formation energy ... 740 meV/atom
E ... -26.27 eV for the cell shown

Cell and atoms, written as CIF:
```
data_ScZn
_cell_length_a 4.2506
_cell_length_b 4.2506
_cell_length_c 4.2506
_cell_angle_alpha 60.00
_cell_angle_beta 60.00
_cell_angle_gamma 60.00
_space_group_name_H-M_alt 'P 1'
_space_group_IT_number 1
loop_
_space_group_symop_operation_xyz
'x,y,z'
loop_
_atom_site_label
_atom_site_fract_x
_atom_site_fract_y
_atom_site_fract_z
Sc1 0.0000 0.0000 0.0000
Zn1 0.2500 0.2500 0.2500
```

(2)
DFT (SCAN) results for Y4ScAg at its PBEsol-relaxed geometry.

Crystal system ... cubic
Space-group type ... No. 216
Formation energy ... 446 meV/atom
E ... -154.30 eV for the cell shown

Cell and atoms, written as CIF:
```
data_Y4ScAg
_cell_length_a 6.1975
_cell_length_b 6.1975
_cell_length_c 6.1975
_cell_angle_alpha 60.00
_cell_angle_beta 60.00
_cell_angle_gamma 60.00
_space_group_name_H-M_alt 'P 1'
_space_group_IT_number 1
loop_
_space_group_symop_operation_xyz
'x,y,z'
loop_
_atom_site_label
_atom_site_fract_x
_atom_site_fract_y
_atom_site_fract_z
Y1 0.1255 0.1255 0.1255
Y2 0.1255 0.1255 0.6235
Y3 0.1255 0.6235 0.1255
Y4 0.6235 0.1255 0.1255
Sc1 0.5000 0.5000 0.5000
Ag1 0.7500 0.7500 0.7500
```

(3)
DFT (SCAN) results for Mg2GaMoOs at its PBEsol-relaxed geometry.

Crystal system ... tetragonal
Space-group type ... No. 123
Formation energy ... 1369 meV/atom
E ... -126.21 eV for the cell shown

Cell and atoms, written as CIF:
```
data_Mg2GaMoOs
_cell_length_a 4.4952
_cell_length_b 4.4952
_cell_length_c 4.6673
_cell_angle_alpha 90.00
_cell_angle_beta 90.00
_cell_angle_gamma 90.00
_space_group_name_H-M_alt 'P 1'
_space_group_IT_number 1
loop_
_space_group_symop_operation_xyz
'x,y,z'
loop_
_atom_site_label
_atom_site_fract_x
_atom_site_fract_y
_atom_site_fract_z
Mg1 0.0000 0.5000 0.0000
Mg2 0.5000 0.0000 0.0000
Ga1 0.0000 0.0000 0.0000
Mo1 0.0000 0.0000 0.5000
Os1 0.5000 0.5000 0.5000
```

(4)
DFT (SCAN) results for KP2WO8 at its PBEsol-relaxed geometry.

Formation energy (no corrections) ... -2.382 eV/atom
Crystal system ... monoclinic
Space-group type ... No. 14
E ... -708.99 eV for the cell shown

Cell and atoms, written as CIF:
```
data_KP2WO8
_cell_length_a 5.0817
_cell_length_b 11.8343
_cell_length_c 12.5818
_cell_angle_alpha 90.00
_cell_angle_beta 112.66
_cell_angle_gamma 90.00
_space_group_name_H-M_alt 'P 1'
_space_group_IT_number 1
loop_
_space_group_symop_operation_xyz
'x,y,z'
loop_
_atom_site_label
_atom_site_fract_x
_atom_site_fract_y
_atom_site_fract_z
K1 0.1804 0.1292 0.4493
K2 0.1804 0.3708 0.9493
K3 0.8196 0.6292 0.0507
K4 0.8196 0.8708 0.5507
P1 0.1110 0.0645 0.8671
P2 0.1110 0.4355 0.3671
P3 0.1136 0.6939 0.8490
P4 0.1136 0.8061 0.3490
P5 0.8864 0.1939 0.6510
P6 0.8864 0.3061 0.1510
P7 0.8890 0.5645 0.6329
P8 0.8890 0.9355 0.1329
W1 0.4081 0.1187 0.1671
W2 0.4081 0.3813 0.6671
W3 0.5919 0.6187 0.3329
W4 0.5919 0.8813 0.8329
O1 0.0487 0.2109 0.1195
O2 0.0487 0.2891 0.6195
O3 0.0675 0.1756 0.7884
O4 0.0675 0.3244 0.2884
O5 0.1395 0.5876 0.9152
O6 0.1395 0.9124 0.4152
O7 0.1887 0.5277 0.6453
O8 0.1887 0.9723 0.1453
O9 0.2492 0.5264 0.3199
O10 0.2492 0.9736 0.8199
O11 0.2933 0.1067 0.9860
O12 0.2933 0.3933 0.4860
O13 0.4068 0.7381 0.8565
O14 0.4068 0.7619 0.3565
O15 0.4992 0.1306 0.3134
O16 0.4992 0.3694 0.8134
O17 0.5008 0.6306 0.1866
O18 0.5008 0.8694 0.6866
O19 0.5932 0.2381 0.6435
O20 0.5932 0.2619 0.1435
O21 0.7067 0.6067 0.5140
O22 0.7067 0.8933 0.0140
O23 0.7508 0.0264 0.1801
O24 0.7508 0.4736 0.6801
O25 0.8113 0.0277 0.8547
O26 0.8113 0.4723 0.3547
O27 0.8605 0.0876 0.5848
O28 0.8605 0.4124 0.0848
O29 0.9325 0.6756 0.7116
O30 0.9325 0.8244 0.2116
O31 0.9513 0.7109 0.3805
O32 0.9513 0.7891 0.8805
```

(5)
DFT (SCAN) results for CaMnCo2 at its PBEsol-relaxed geometry.

Crystal system ... tetragonal
Space-group type ... No. 123
Formation energy ... 440 meV/atom
E ... -60.77 eV for the cell shown

Cell and atoms, written as CIF:
```
data_CaMnCo2
_cell_length_a 4.3284
_cell_length_b 4.3284
_cell_length_c 2.9110
_cell_angle_alpha 90.00
_cell_angle_beta 90.00
_cell_angle_gamma 90.00
_space_group_name_H-M_alt 'P 1'
_space_group_IT_number 1
loop_
_space_group_symop_operation_xyz
'x,y,z'
loop_
_atom_site_label
_atom_site_fract_x
_atom_site_fract_y
_atom_site_fract_z
Ca1 0.0000 0.0000 0.0000
Mn1 0.5000 0.5000 0.0000
Co1 0.0000 0.5000 0.5000
Co2 0.5000 0.0000 0.5000
```

(6)
DFT (SCAN) results for SrLi2Al at its PBEsol-relaxed geometry.

Crystal system ... tetragonal
Space-group type ... No. 119
Formation energy ... 35 meV/atom
E ... -34.67 eV for the cell shown

Cell and atoms, written as CIF:
```
data_SrLi2Al
_cell_length_a 5.4916
_cell_length_b 5.4916
_cell_length_c 5.4916
_cell_angle_alpha 127.62
_cell_angle_beta 127.62
_cell_angle_gamma 77.24
_space_group_name_H-M_alt 'P 1'
_space_group_IT_number 1
loop_
_space_group_symop_operation_xyz
'x,y,z'
loop_
_atom_site_label
_atom_site_fract_x
_atom_site_fract_y
_atom_site_fract_z
Sr1 0.0000 0.0000 0.0000
Li1 0.5000 0.5000 0.0000
Li2 0.7500 0.2500 0.5000
Al1 0.2500 0.7500 0.5000
```

(7)
DFT (SCAN) results for CuNiRh at its PBEsol-relaxed geometry.

Crystal system ... orthorhombic
Space-group type ... No. 42
Formation energy ... 181 meV/atom
E ... -64.60 eV for the cell shown

Cell and atoms, written as CIF:
```
data_CuNiRh
_cell_length_a 6.7267
_cell_length_b 6.5005
_cell_length_c 2.5368
_cell_angle_alpha 84.01
_cell_angle_beta 73.96
_cell_angle_gamma 22.03
_space_group_name_H-M_alt 'P 1'
_space_group_IT_number 1
loop_
_space_group_symop_operation_xyz
'x,y,z'
loop_
_atom_site_label
_atom_site_fract_x
_atom_site_fract_y
_atom_site_fract_z
Cu1 0.0000 0.0000 0.0000
Ni1 0.6589 0.6589 0.3411
Rh1 0.3264 0.3264 0.6736
```

(8)
DFT (SCAN) results for K2ZnH12Se2O14 at its PBEsol-relaxed geometry.

Crystal system ... monoclinic
Space-group type ... No. 14
E ... -471.80 eV for the cell shown

Cell and atoms, written as CIF:
```
data_K2ZnH12Se2O14
_cell_length_a 6.2719
_cell_length_b 12.2324
_cell_length_c 9.0928
_cell_angle_alpha 90.00
_cell_angle_beta 103.43
_cell_angle_gamma 90.00
_space_group_name_H-M_alt 'P 1'
_space_group_IT_number 1
loop_
_space_group_symop_operation_xyz
'x,y,z'
loop_
_atom_site_label
_atom_site_fract_x
_atom_site_fract_y
_atom_site_fract_z
K1 0.1656 0.1633 0.3609
K2 0.1656 0.3367 0.8609
K3 0.8344 0.6633 0.1391
K4 0.8344 0.8367 0.6391
Zn1 0.5000 0.0000 0.0000
Zn2 0.5000 0.5000 0.5000
H1 0.1648 0.5551 0.6064
H2 0.1648 0.9449 0.1064
H3 0.1665 0.6406 0.4720
H4 0.1665 0.8594 0.9720
H5 0.1794 0.0843 0.7882
H6 0.1794 0.4157 0.2882
H7 0.4047 0.1252 0.7488
H8 0.4047 0.3748 0.2488
H9 0.4187 0.5983 0.2295
H10 0.4187 0.9017 0.7295
H11 0.5004 0.1908 0.1446
H12 0.5004 0.3092 0.6446
H13 0.4996 0.6908 0.3554
H14 0.4996 0.8092 0.8554
H15 0.5813 0.0983 0.2705
H16 0.5813 0.4017 0.7705
H17 0.5953 0.6252 0.7512
H18 0.5953 0.8748 0.2512
H19 0.8206 0.5843 0.7118
H20 0.8206 0.9157 0.2118
H21 0.8335 0.1406 0.0280
H22 0.8335 0.3594 0.5280
H23 0.8352 0.0551 0.8936
H24 0.8352 0.4449 0.3936
Se1 0.2217 0.6342 0.9120
Se2 0.2217 0.8658 0.4120
Se3 0.7783 0.1342 0.5880
Se4 0.7783 0.3658 0.0880
O1 0.0599 0.7427 0.9100
O2 0.0599 0.7573 0.4100
O3 0.0998 0.5518 0.7707
O4 0.0998 0.9482 0.2707
O5 0.2072 0.5639 0.5072
O6 0.2072 0.9361 0.0072
O7 0.2453 0.5668 0.0731
O8 0.2453 0.9332 0.5731
O9 0.3295 0.1137 0.8331
O10 0.3295 0.3863 0.3331
O11 0.4678 0.6744 0.8897
O12 0.4678 0.8256 0.3897
O13 0.4690 0.1145 0.1739
O14 0.4690 0.3855 0.6739
O15 0.5310 0.6145 0.3261
O16 0.5310 0.8855 0.8261
O17 0.5322 0.1744 0.6103
O18 0.5322 0.3256 0.1103
O19 0.6705 0.6137 0.6669
O20 0.6705 0.8863 0.1669
O21 0.7547 0.0668 0.4269
O22 0.7547 0.4332 0.9269
O23 0.7928 0.0639 0.9928
O24 0.7928 0.4361 0.4928
O25 0.9002 0.0518 0.7293
O26 0.9002 0.4482 0.2293
O27 0.9401 0.2427 0.5900
O28 0.9401 0.2573 0.0900
```

(9)
DFT (SCAN) results for ZrAs3F at its PBEsol-relaxed geometry.

Formation energy (no corrections) ... -0.182 eV/atom
Crystal system ... cubic
Space-group type ... No. 221
E ... -95.72 eV for the cell shown

Cell and atoms, written as CIF:
```
data_ZrAs3F
_cell_length_a 4.4441
_cell_length_b 4.4441
_cell_length_c 4.4441
_cell_angle_alpha 90.00
_cell_angle_beta 90.00
_cell_angle_gamma 90.00
_space_group_name_H-M_alt 'P 1'
_space_group_IT_number 1
loop_
_space_group_symop_operation_xyz
'x,y,z'
loop_
_atom_site_label
_atom_site_fract_x
_atom_site_fract_y
_atom_site_fract_z
Zr1 0.0000 0.0000 0.0000
As1 0.0000 0.5000 0.5000
As2 0.5000 0.0000 0.5000
As3 0.5000 0.5000 0.0000
F1 0.5000 0.5000 0.5000
```

(10)
DFT (SCAN) results for CaNbNO2 at its PBEsol-relaxed geometry.

Formation energy (no corrections) ... -2.403 eV/atom
Crystal system ... monoclinic
Space-group type ... No. 14
E ... -306.25 eV for the cell shown

Cell and atoms, written as CIF:
```
data_CaNbNO2
_cell_length_a 5.5131
_cell_length_b 5.6646
_cell_length_c 9.5737
_cell_angle_alpha 90.00
_cell_angle_beta 124.84
_cell_angle_gamma 90.00
_space_group_name_H-M_alt 'P 1'
_space_group_IT_number 1
loop_
_space_group_symop_operation_xyz
'x,y,z'
loop_
_atom_site_label
_atom_site_fract_x
_atom_site_fract_y
_atom_site_fract_z
Ca1 0.2314 0.0488 0.2460
Ca2 0.2314 0.4512 0.7460
Ca3 0.7686 0.5488 0.2540
Ca4 0.7686 0.9512 0.7540
Nb1 0.0000 0.0000 0.5000
Nb2 0.0000 0.5000 0.0000
Nb3 0.5000 0.0000 0.0000
Nb4 0.5000 0.5000 0.5000
N1 0.1623 0.2110 0.9529
N2 0.1623 0.2890 0.4529
N3 0.8377 0.7110 0.5471
N4 0.8377 0.7890 0.0471
O1 0.2360 0.7094 0.9445
O2 0.2360 0.7906 0.4445
O3 0.3473 0.0274 0.7505
O4 0.3473 0.4726 0.2505
O5 0.6527 0.5274 0.7495
O6 0.6527 0.9726 0.2495
O7 0.7640 0.2094 0.5555
O8 0.7640 0.2906 0.0555
```

(11)
DFT (SCAN) results for Sm3In at its PBEsol-relaxed geometry.

Crystal system ... cubic
Space-group type ... No. 221
Formation energy ... -398 meV/atom
E ... -168.31 eV for the cell shown

Cell and atoms, written as CIF:
```
data_Sm3In
_cell_length_a 4.8328
_cell_length_b 4.8328
_cell_length_c 4.8328
_cell_angle_alpha 90.00
_cell_angle_beta 90.00
_cell_angle_gamma 90.00
_space_group_name_H-M_alt 'P 1'
_space_group_IT_number 1
loop_
_space_group_symop_operation_xyz
'x,y,z'
loop_
_atom_site_label
_atom_site_fract_x
_atom_site_fract_y
_atom_site_fract_z
Sm1 0.0000 0.0000 0.5000
Sm2 0.0000 0.5000 0.0000
Sm3 0.5000 0.0000 0.0000
In1 0.5000 0.5000 0.5000
```

(12)
DFT (SCAN) results for CaNbH3 at its PBEsol-relaxed geometry.

Crystal system ... cubic
Space-group type ... No. 221
E ... -50.36 eV for the cell shown

Cell and atoms, written as CIF:
```
data_CaNbH3
_cell_length_a 3.8512
_cell_length_b 3.8512
_cell_length_c 3.8512
_cell_angle_alpha 90.00
_cell_angle_beta 90.00
_cell_angle_gamma 90.00
_space_group_name_H-M_alt 'P 1'
_space_group_IT_number 1
loop_
_space_group_symop_operation_xyz
'x,y,z'
loop_
_atom_site_label
_atom_site_fract_x
_atom_site_fract_y
_atom_site_fract_z
Ca1 0.0000 0.0000 0.0000
Nb1 0.5000 0.5000 0.5000
H1 0.0000 0.0000 0.5000
H2 0.0000 0.5000 0.0000
H3 0.5000 0.0000 0.0000
```

Question: Which value of E does entry 10 give?
Answer: -306.25 eV for the cell shown

Question: Among the records above, which one has the lowest E?
Answer: KP2WO8

Question: Number 11 is which compound?
Answer: Sm3In